{
  "formula": "LiPaSnIr",
  "functional": "PBE-GGA",
  "state": "relaxed",
  "lattice": [[-2.803, -3.255, 2.084], [0.909, -1.426, 4.464], [-2.914, 1.285, 3.557]],
  "species": ["Pa", "Li", "Sn", "Ir"],
  "fractional_positions": [[0.250, 0.250, 0.250], [0.500, 0.500, 0.500], [0.750, 0.750, 0.750], [0.000, 0.000, 0.000]],
  "final_energy_ev_per_cell": -26.21,
  "mass_density_g_cm3": 11.8
}